1.
# Pm5Sm3Cd GGA-PBE optimized geometry
data_Pm5Sm3Cd
_symmetry_space_group_name_H-M 'C 1 2/m 1'
_symmetry_Int_Tables_number 12
_symmetry_space_group_name_Hall '-C 2y'
_cell_length_a 14.602
_cell_length_b 8.681
_cell_length_c 12.500
_cell_angle_alpha 90.00
_cell_angle_beta 123.22
_cell_angle_gamma 90.00
loop_
_atom_site_label
_atom_site_type_symbol
_atom_site_fract_x
_atom_site_fract_y
_atom_site_fract_z
Pm1 Pm 0.000 0.171 0.000
Pm2 Pm 0.057 0.321 0.324
Pm3 Pm 0.157 0.500 0.647
Pm4 Pm 0.187 0.500 0.934
Sm1 Sm 0.000 0.000 0.500
Sm2 Sm 0.000 0.500 0.000
Sm3 Sm 0.079 0.000 0.808
Sm4 Sm 0.199 0.000 0.471
Cd1 Cd 0.231 0.500 0.243
# ΔE_f ... 0.42 eV per atom
# Density of states at the Fermi level ... 55.22 states/eV per cell

***

2.
# ZrInPd2 GGA-PBE optimized geometry
data_ZrInPd2
_symmetry_space_group_name_H-M 'I -4 2 d'
_symmetry_Int_Tables_number 122
_symmetry_space_group_name_Hall 'I -4 2bw'
_cell_length_a 7.414
_cell_length_b 7.414
_cell_length_c 5.882
_cell_angle_alpha 90.00
_cell_angle_beta 90.00
_cell_angle_gamma 90.00
loop_
_atom_site_label
_atom_site_type_symbol
_atom_site_fract_x
_atom_site_fract_y
_atom_site_fract_z
Zr1 Zr 0.000 0.000 0.000
In1 In 0.000 0.000 0.500
Pd1 Pd 0.244 0.250 0.125
# ΔE_f ... -0.22 eV per atom
# Density of states at the Fermi level ... 14.35 states/eV per cell

***

3.
# LiCa3Ce2Se6 GGA-PBE optimized geometry
data_LiCa3Ce2Se6
_symmetry_space_group_name_H-M 'C 1 2/m 1'
_symmetry_Int_Tables_number 12
_symmetry_space_group_name_Hall '-C 2y'
_cell_length_a 7.271
_cell_length_b 12.587
_cell_length_c 7.311
_cell_angle_alpha 90.00
_cell_angle_beta 109.38
_cell_angle_gamma 90.00
loop_
_atom_site_label
_atom_site_type_symbol
_atom_site_fract_x
_atom_site_fract_y
_atom_site_fract_z
Li1 Li 0.000 0.000 0.000
Ca1 Ca 0.000 0.167 0.500
Ca2 Ca 0.000 0.500 0.500
Ce1 Ce 0.000 0.333 0.000
Se1 Se 0.247 0.000 0.750
Se2 Se 0.248 0.165 0.250
# Density of states at the Fermi level ... 29.93 states/eV per cell
# Formation energy without anion corrections ... -1818 meV per atom

***

4.
# CaLaRe GGA-PBE optimized geometry
data_CaLaRe
_symmetry_space_group_name_H-M 'F -4 3 m'
_symmetry_Int_Tables_number 216
_symmetry_space_group_name_Hall 'F -4 2 3'
_cell_length_a 6.810
_cell_length_b 6.810
_cell_length_c 6.810
_cell_angle_alpha 90.00
_cell_angle_beta 90.00
_cell_angle_gamma 90.00
loop_
_atom_site_label
_atom_site_type_symbol
_atom_site_fract_x
_atom_site_fract_y
_atom_site_fract_z
Ca1 Ca 0.000 0.000 0.000
La1 La 0.250 0.250 0.750
Re1 Re 0.000 0.000 0.500
# ΔE_f ... 1.28 eV per atom
# Relative energy among the computed polymorphs ... 0.766 eV per atom
# Density of states at the Fermi level ... 10.72 states/eV per cell

***

Going through the records in order, we get uncorrected energy values of -140.019, -90.196, -125.024, -62.196 eV for the cell shown.
Going through the records in order, we get spin magnetization values of 0.000, 0.000, 5.311, 0.001 Bohr magnetons per cell.